GdTmCdGe | GGA-PBE | optimized geometry

Lattice parameters (Å, degrees): 5.1446 5.1446 5.1446 60.00 60.00 60.00
Sites, in units of the cell vectors:
Ge 0.2500 0.2500 0.2500
Cd 0.7500 0.7500 0.7500
Tm 0.5000 0.5000 0.5000
Gd 0.0000 0.0000 0.0000

- Formation energy from the elements: -0.46 eV/atom
- Space group: F-43m (216)